Compound: AlTlRe2
Source: Alexandria via LeMat-Bulk
Functional: PBE-GGA
Structure: relaxed

Its energy of formation is 0.594 eV/atom. As for the total energy: -7.16 eV per atom. The energy above the lowest structure with this stoichiometry comes out at 387.0 meV/atom.

```
data_AlTlRe2
_chemical_formula_sum 'Al3 Tl3 Re6'
_symmetry_space_group_name_H-M 'R -3 m'
_symmetry_Int_Tables_number 166
_symmetry_space_group_name_Hall '-R 3 2"'
_cell_length_a 2.8381
_cell_length_b 2.8381
_cell_length_c 29.8871
_cell_angle_alpha 90.00
_cell_angle_beta 90.00
_cell_angle_gamma 120.00
loop_
_atom_site_label
_atom_site_fract_x
_atom_site_fract_y
_atom_site_fract_z
Al1 0.0000 0.0000 0.0000
Tl1 0.0000 0.0000 0.5000
Re1 0.0000 0.0000 0.2619
```

Compound: AlTlRe2
Source: Alexandria via LeMat-Bulk
Functional: PBE-GGA
Structure: relaxed

Its energy of formation is 0.830 eV/atom. As for the total energy: -6.92 eV per atom. The energy above the lowest structure with this stoichiometry comes out at 623.8 meV/atom.

```
data_AlTlRe2
_chemical_formula_sum 'Al2 Tl2 Re4'
_symmetry_space_group_name_H-M 'I 4/m m m'
_symmetry_Int_Tables_number 139
_symmetry_space_group_name_Hall '-I 4 2'
_cell_length_a 3.9743
_cell_length_b 3.9743
_cell_length_c 8.4425
_cell_angle_alpha 90.00
_cell_angle_beta 90.00
_cell_angle_gamma 90.00
loop_
_atom_site_label
_atom_site_fract_x
_atom_site_fract_y
_atom_site_fract_z
Al1 0.0000 0.0000 0.0000
Tl1 0.0000 0.0000 0.5000
Re1 0.0000 0.5000 0.2500
```

Compound: AlTl2Re
Source: Alexandria via LeMat-Bulk
Functional: PBE-GGA
Structure: relaxed

Its energy of formation is 0.846 eV/atom. As for the total energy: -4.38 eV per atom. The energy above the lowest structure with this stoichiometry comes out at 397.0 meV/atom.

```
data_AlTl2Re
_chemical_formula_sum 'Al2 Tl4 Re2'
_symmetry_space_group_name_H-M 'I -4 m 2'
_symmetry_Int_Tables_number 119
_symmetry_space_group_name_Hall 'I -4 -2'
_cell_length_a 4.2534
_cell_length_b 4.2534
_cell_length_c 8.6425
_cell_angle_alpha 90.00
_cell_angle_beta 90.00
_cell_angle_gamma 90.00
loop_
_atom_site_label
_atom_site_fract_x
_atom_site_fract_y
_atom_site_fract_z
Al1 0.0000 0.0000 0.0000
Tl1 0.0000 0.0000 0.5000
Tl2 0.0000 0.5000 0.2500
Re1 0.0000 0.5000 0.7500
```

Compound: AlTl2Re
Source: Alexandria via LeMat-Bulk
Functional: PBE-GGA
Structure: relaxed

Its energy of formation is 0.449 eV/atom. As for the total energy: -4.78 eV per atom. The energy above the lowest structure with this stoichiometry comes out at 0.0 meV/atom.

```
data_AlTl2Re
_chemical_formula_sum 'Al1 Tl2 Re1'
_symmetry_space_group_name_H-M 'P 1 m 1'
_symmetry_Int_Tables_number 6
_cell_length_a 3.0169
_cell_length_b 3.2868
_cell_length_c 9.0363
_cell_angle_alpha 90.00
_cell_angle_beta 99.59
_cell_angle_gamma 90.00
loop_
_symmetry_equiv_pos_as_xyz
'x,y,z'
'x,-y,z'
loop_
_atom_site_label
_atom_site_fract_x
_atom_site_fract_y
_atom_site_fract_z
Al1 0.0000 0.0000 0.0000
Tl1 0.1914 0.0000 0.3791
Tl2 0.3563 0.5000 0.7242
Re1 0.5728 0.5000 0.1449
```

Compound: AlTlRe2
Source: Alexandria via LeMat-Bulk
Functional: PBE-GGA
Structure: relaxed

Its energy of formation is 0.571 eV/atom. As for the total energy: -7.18 eV per atom. The energy above the lowest structure with this stoichiometry comes out at 364.8 meV/atom.

```
data_AlTlRe2
_chemical_formula_sum 'Al2 Tl2 Re4'
_symmetry_space_group_name_H-M 'C m m 2'
_symmetry_Int_Tables_number 35
_cell_length_a 2.9743
_cell_length_b 4.8086
_cell_length_c 10.3600
_cell_angle_alpha 90.00
_cell_angle_beta 90.00
_cell_angle_gamma 90.00
loop_
_symmetry_equiv_pos_as_xyz
'x,y,z'
'-x,-y,z'
'-x,y,z'
'x,-y,z'
'x+1/2,y+1/2,z'
'-x+1/2,-y+1/2,z'
'-x+1/2,y+1/2,z'
'x+1/2,-y+1/2,z'
loop_
_atom_site_label
_atom_site_fract_x
_atom_site_fract_y
_atom_site_fract_z
Al1 0.0000 0.0000 0.0000
Tl1 0.0000 0.5000 0.3046
Re1 0.0000 0.0000 0.5788
Re2 0.0000 0.5000 0.7836
```

Compound: Al2TlRe
Source: Alexandria via LeMat-Bulk
Functional: PBE-GGA
Structure: relaxed

Its energy of formation is 0.378 eV/atom. As for the total energy: -5.20 eV per atom. The energy above the lowest structure with this stoichiometry comes out at 259.1 meV/atom.

```
data_Al2TlRe
_chemical_formula_sum 'Al4 Tl2 Re2'
_symmetry_space_group_name_H-M 'C 1 2/m 1'
_symmetry_Int_Tables_number 12
_cell_length_a 8.9430
_cell_length_b 3.4867
_cell_length_c 4.7767
_cell_angle_alpha 90.00
_cell_angle_beta 107.12
_cell_angle_gamma 90.00
loop_
_symmetry_equiv_pos_as_xyz
'x,y,z'
'-x,-y,-z'
'-x,y,-z'
'x,-y,z'
'x+1/2,y+1/2,z'
'-x+1/2,-y+1/2,-z'
'-x+1/2,y+1/2,-z'
'x+1/2,-y+1/2,z'
loop_
_atom_site_label
_atom_site_fract_x
_atom_site_fract_y
_atom_site_fract_z
Al1 0.2320 0.0000 0.1922
Tl1 0.0000 0.0000 0.5000
Re1 0.0000 0.5000 0.0000
```

Compound: Al2TlRe
Source: Alexandria via LeMat-Bulk
Functional: PBE-GGA
Structure: relaxed

Its energy of formation is 0.197 eV/atom. As for the total energy: -5.38 eV per atom. The energy above the lowest structure with this stoichiometry comes out at 78.7 meV/atom.

```
data_Al2TlRe
_chemical_formula_sum 'Al6 Tl3 Re3'
_symmetry_space_group_name_H-M 'R -3 m'
_symmetry_Int_Tables_number 166
_symmetry_space_group_name_Hall '-R 3 2"'
_cell_length_a 3.0641
_cell_length_b 3.0641
_cell_length_c 27.0389
_cell_angle_alpha 90.00
_cell_angle_beta 90.00
_cell_angle_gamma 120.00
loop_
_atom_site_label
_atom_site_fract_x
_atom_site_fract_y
_atom_site_fract_z
Al1 0.0000 0.0000 0.2375
Tl1 0.0000 0.0000 0.0000
Re1 0.0000 0.0000 0.5000
```

Compound: Al2TlRe
Source: Alexandria via LeMat-Bulk
Functional: PBE-GGA
Structure: relaxed

Its energy of formation is 0.419 eV/atom. As for the total energy: -5.16 eV per atom. The energy above the lowest structure with this stoichiometry comes out at 300.9 meV/atom.

```
data_Al2TlRe
_chemical_formula_sum 'Al6 Tl3 Re3'
_symmetry_space_group_name_H-M 'R 3 m'
_symmetry_Int_Tables_number 160
_symmetry_space_group_name_Hall 'R 3 -2"'
_cell_length_a 2.9247
_cell_length_b 2.9247
_cell_length_c 30.4333
_cell_angle_alpha 90.00
_cell_angle_beta 90.00
_cell_angle_gamma 120.00
loop_
_atom_site_label
_atom_site_fract_x
_atom_site_fract_y
_atom_site_fract_z
Al1 0.0000 0.0000 0.0000
Al2 0.0000 0.0000 0.2569
Tl1 0.0000 0.0000 0.7715
Re1 0.0000 0.0000 0.5229
```

Number 2 is which compound?
AlTlRe2

energy of formation of number 2 (AlTlRe2)?
0.830 eV/atom

The lowest energy of formation belongs to which entry?
number 7

energy of formation of number 5 (AlTlRe2)?
0.571 eV/atom